Entry from the Open Quantum Materials Database: crystalline CsGeTeAuS2 at its relaxed geometry (PBE-GGA).

Cell: 9.184 9.184 10.728 Å, 90.00 90.00 156.91°
Sites, in units of the cell vectors:
Au 0.400 0.600 0.250
Au 0.600 0.400 0.750
Cs 0.734 0.266 0.250
Cs 0.266 0.734 0.750
Ge 0.000 0.000 0.000
Ge 0.000 0.000 0.500
S 0.401 0.599 0.033
S 0.401 0.599 0.467
S 0.599 0.401 0.533
S 0.599 0.401 0.967
Te 0.051 0.949 0.250
Te 0.949 0.051 0.750

Total DFT energy (no corrections) ... -3.680 eV per atom
Symmetry ... Cmcm